ScSbH (PBE, optimized geometry); total DFT energy (no corrections) = -5.174 eV per atom; magnetization = 0.00 μB per formula unit; polymorph energy (0 for the lowest one) = 0.058 eV/atom
1.0
3.390 0.000 0.000
0.000 3.390 0.000
0.000 0.000 9.230
Sc Sb H
2 2 2
direct
0.250 0.250 0.129
0.750 0.750 0.871
0.250 0.250 0.664
0.750 0.750 0.336
0.250 0.750 0.000
0.750 0.250 0.000

=====

ScSbH3 (PBE, optimized geometry); total DFT energy (no corrections) = -3.534 eV per atom; magnetization = 0.00 μB per formula unit; polymorph energy (0 for the lowest one) = 0.567 eV/atom
1.0
4.006 0.000 0.000
0.000 4.006 0.000
0.000 0.000 4.006
Sc Sb H
1 1 3
direct
0.000 0.000 0.000
0.500 0.500 0.500
0.000 0.500 0.500
0.500 0.000 0.500
0.500 0.500 0.000

=====

ScSbH (PBE, optimized geometry); total DFT energy (no corrections) = -4.576 eV per atom; magnetization = 0.00 μB per formula unit; polymorph energy (0 for the lowest one) = 0.656 eV/atom
1.0
2.724 -2.097 0.000
2.724 2.097 0.000
-0.303 0.000 9.664
Sc Sb H
2 2 2
direct
0.242 0.242 0.372
0.758 0.758 0.628
0.269 0.269 0.845
0.731 0.731 0.155
0.231 0.231 0.171
0.769 0.769 0.829

=====

ScSbH3 (PBE, optimized geometry); total DFT energy (no corrections) = -4.101 eV per atom; magnetization = 0.00 μB per formula unit; polymorph energy (0 for the lowest one) = 0.000 eV/atom
1.0
3.854 0.000 0.000
0.000 3.854 0.000
0.000 0.000 3.854
Sc Sb H
1 1 3
direct
0.000 0.000 0.000
0.500 0.500 0.500
0.000 0.000 0.500
0.000 0.500 0.000
0.500 0.000 0.000

=====

Sc2SbH (PBE, optimized geometry); total DFT energy (no corrections) = -5.314 eV per atom; magnetization = 1.90 μB per formula unit; polymorph energy (0 for the lowest one) = 0.407 eV/atom
1.0
0.000 3.386 3.386
3.386 0.000 3.386
3.386 3.386 0.000
Sc Sb H
2 1 1
direct
0.250 0.250 0.250
0.750 0.750 0.750
0.000 0.000 0.000
0.500 0.500 0.500

=====

Sc5Sb2H (PBE, optimized geometry); total DFT energy (no corrections) = -5.906 eV per atom; magnetization = 0.69 μB per formula unit
1.0
-3.193 3.193 4.201
3.193 -3.193 4.201
3.193 3.193 -4.201
Sc Sb H
5 2 1
direct
0.000 0.000 0.000
0.007 0.007 0.502
0.007 0.504 0.000
0.504 0.007 0.000
0.504 0.504 0.498
0.005 0.505 0.500
0.505 0.005 0.500
0.754 0.754 0.000